1.
## Mg12Tl6Sn (PBE)

Data for Mg12Tl6Sn after structural relaxation.

ΔE to the lowest computed polymorph, meV/atom: 24

Cell: 7.844 7.844 7.844 Å, 92.53 92.53 92.53°
Element x y z (fractional)
1 Mg 0.032 0.295 0.939
2 Mg 0.061 0.968 0.705
3 Mg 0.135 0.345 0.475
4 Mg 0.295 0.939 0.032
5 Mg 0.345 0.475 0.135
6 Mg 0.475 0.135 0.345
7 Mg 0.525 0.865 0.655
8 Mg 0.655 0.525 0.865
9 Mg 0.705 0.061 0.968
10 Mg 0.865 0.655 0.525
11 Mg 0.939 0.032 0.295
12 Mg 0.968 0.705 0.061
13 Tl 0.202 0.615 0.781
14 Tl 0.219 0.798 0.385
15 Tl 0.385 0.219 0.798
16 Tl 0.615 0.781 0.202
17 Tl 0.781 0.202 0.615
18 Tl 0.798 0.385 0.219
19 Sn 0.500 0.500 0.500


2.
## ZnCu2Mo (PBE)

Data for ZnCu2Mo after structural relaxation.

Cell: 4.479 4.479 4.479 Å, 127.64 127.64 77.21°
Element x y z (fractional)
1 Zn 0.000 0.000 0.000
2 Cu 0.250 0.750 0.500
3 Cu 0.500 0.500 0.000
4 Mo 0.750 0.250 0.500


3.
## VNiGe (PBE)

Data for VNiGe after structural relaxation.

Cell: 3.559 3.559 6.394 Å, 90.00 90.00 90.00°
Element x y z (fractional)
1 V 0.250 0.750 0.000
2 V 0.750 0.250 0.000
3 Ni 0.250 0.250 0.305
4 Ni 0.750 0.750 0.695
5 Ge 0.250 0.250 0.684
6 Ge 0.750 0.750 0.316


| no. | electronic total energy (eV/atom) |
| --- | --- |
| 1 | -1.93 |
| 2 | -4.76 |
| 3 | -6.72 |